Record 1
A geometry-optimized LiMg2Nb structure. Source: the Alexandria database, functional PBE.

The structure belongs to space group Fm-3m (No. 225); the cell edges are 6.7504, 6.7504 and 6.7504 Å and the angles 90.00°, 90.00° and 90.00°. The distinct sites, in fractional coordinates, are Li at (0.0000, 0.0000, 0.0000), Mg at (0.2500, 0.2500, 0.2500) and Nb at (0.0000, 0.0000, 0.5000).

For the formation energy, the calculation gives 0.4151 eV/atom. The density of states at the Fermi level comes out at 11.41 states/eV/cell. The calculated volume comes out at 307.60 Å³/cell. The value obtained for the raw total energy is -3.38 eV/atom.

---

Record 2
A geometry-optimized ErTm2UAs4 structure. Source: the Alexandria database, functional PBE.

The structure belongs to space group P2/m (No. 10); the cell edges are 7.0470, 4.0578 and 7.0488 Å and the angles 90.00°, 109.21° and 90.00°. The distinct sites, in fractional coordinates, are Er at (0.0000, 0.0000, 0.0000), Tm at (0.5000, 0.0000, 0.5000), Tm at (0.5000, 0.5000, 0.0000), U at (0.0000, 0.5000, 0.5000), As at (0.2496, 0.5000, 0.2522) and As at (0.2512, 0.0000, 0.7503).

For the formation energy, the calculation gives -1.3073 eV/atom. The density of states at the Fermi level comes out at 7.91 states/eV/cell. The calculated volume comes out at 190.34 Å³/cell. The value obtained for the raw total energy is -6.73 eV/atom.

---

Copy entry 1 word for word.
A geometry-optimized LiMg2Nb structure. Source: the Alexandria database, functional PBE.

The structure belongs to space group Fm-3m (No. 225); the cell edges are 6.7504, 6.7504 and 6.7504 Å and the angles 90.00°, 90.00° and 90.00°. The distinct sites, in fractional coordinates, are Li at (0.0000, 0.0000, 0.0000), Mg at (0.2500, 0.2500, 0.2500) and Nb at (0.0000, 0.0000, 0.5000).

For the formation energy, the calculation gives 0.4151 eV/atom. The density of states at the Fermi level comes out at 11.41 states/eV/cell. The calculated volume comes out at 307.60 Å³/cell. The value obtained for the raw total energy is -3.38 eV/atom.

---

- The highest calculated volume belongs to which entry?
  LiMg2Nb

---

- What is the formula in the first record?
  LiMg2Nb

---

- Among the records above, which one has the lowest raw total energy?
  ErTm2UAs4